Computed, not measured: a geometry-optimized ZrTaNi6 structure at the PBE level of DFT.

```
32
Lattice="-6.049 -1.439 1.324 3.355 -5.332 -0.855 2.375 -0.209 10.623" Properties=species:S:1:pos:R:3 pbc="T T T"
Ni 2.244 -4.479 5.071
Ni -0.343 -1.303 7.091
Ni -0.929 -1.257 4.443
Ni -0.753 -3.438 2.890
Ni -0.578 -5.618 1.337
Ni 1.419 -2.229 3.899
Ni -1.555 -1.202 1.643
Ni 1.781 -0.157 7.968
Ni 2.018 -2.281 6.544
Ni 3.397 -4.581 10.227
Ni 0.793 -2.174 1.099
Ni -2.926 -4.647 1.881
Ni -1.376 -2.606 11.333
Ni -1.716 -4.754 7.330
Ni 0.434 -3.542 8.202
Ni 0.223 -1.353 9.621
Ni 1.211 -5.782 9.312
Ni -2.300 -4.702 4.682
Ni -2.529 -2.504 6.176
Ni 0.594 -0.052 2.656
Ni 0.645 -5.732 6.783
Ni -1.151 -4.804 9.860
Ni 2.584 -2.331 9.074
Ni 0.048 -5.674 4.138
Zr 1.585 -4.406 2.348
Zr 1.024 -3.594 10.840
Zr -3.092 -2.470 3.432
Zr -0.156 -3.490 5.564
Ta 2.373 -0.209 10.614
Ta 1.189 -0.105 5.321
Ta 2.768 -4.509 7.661
Ta -1.900 -2.576 8.743
```

Computed properties:
formation energy from the elements	-0.302	eV per atom
VASP energy	-230.0	eV for the cell shown